This record from Alexandria via LeMat-Bulk describes crystalline La2HoAs3Pt4 at its relaxed geometry. The functional is PBE.

Lattice parameters (Å, degrees): 4.345 4.345 11.286 90.00 90.00 90.00
Element x y z (fractional)
1 La 0.000 0.500 0.217
2 La 0.500 0.000 0.783
3 Ho 0.000 0.000 0.500
4 As 0.000 0.500 0.873
5 As 0.500 0.000 0.127
6 As 0.500 0.500 0.500
7 Pt 0.000 0.000 0.000
8 Pt 0.000 0.500 0.654
9 Pt 0.500 0.000 0.346
10 Pt 0.500 0.500 0.000

Results
As for the space-group type: P-4m2, No. 115. As for the calculated formation energy: -97.7 kJ per mole of atoms. The calculated volume comes out at 21.31 Å³ per atom.

=====

This record from Alexandria via LeMat-Bulk describes crystalline TlNiOs2 at its relaxed geometry. The functional is PBE.

Lattice parameters (Å, degrees): 3.820 3.820 4.260 90.00 90.00 90.00
Element x y z (fractional)
1 Tl 0.000 0.000 0.000
2 Ni 0.500 0.500 0.000
3 Os 0.000 0.500 0.500
4 Os 0.500 0.000 0.500

Results
As for the space-group type: P4/mmm, No. 123. As for the calculated formation energy: 85.9 kJ per mole of atoms. The value obtained for the relative energy among the computed polymorphs is 420.8 meV per atom. The calculated volume comes out at 15.54 Å³ per atom.

=====

This record from Alexandria via LeMat-Bulk describes crystalline ZrNbTeW2 at its relaxed geometry. The functional is PBE.

Lattice parameters (Å, degrees): 4.830 4.830 5.166 90.00 90.00 90.00
Element x y z (fractional)
1 Zr 0.000 0.000 0.000
2 Nb 0.500 0.500 0.500
3 Te 0.500 0.500 0.000
4 W 0.000 0.500 0.500
5 W 0.500 0.000 0.500

Results
As for the space-group type: P4/mmm, No. 123. The energy relative to the elements, uncorrected comes out at 1.660 eV per atom. The calculated volume comes out at 24.10 Å³ per atom.

=====

This record from Alexandria via LeMat-Bulk describes crystalline Lu2AgC at its relaxed geometry. The functional is PBE.

Lattice parameters (Å, degrees): 7.523 7.523 7.523 27.30 27.30 27.30
Element x y z (fractional)
1 Lu 0.226 0.226 0.226
2 Lu 0.774 0.774 0.774
3 Ag 0.000 0.000 0.000
4 C 0.500 0.500 0.500

Results
As for the space-group type: R-3m, No. 166. As for the calculated formation energy: -30.5 kJ per mole of atoms. The calculated volume comes out at 19.76 Å³ per atom.

=====

This record from Alexandria via LeMat-Bulk describes crystalline ScTeAu3 at its relaxed geometry. The functional is PBE.

Lattice parameters (Å, degrees): 5.199 5.199 5.199 90.00 90.00 90.00
Element x y z (fractional)
1 Sc 0.000 0.000 0.000
2 Te 0.500 0.500 0.500
3 Au 0.000 0.500 0.500
4 Au 0.500 0.000 0.500
5 Au 0.500 0.500 0.000

Results
As for the space-group type: Pm-3m, No. 221. The energy relative to the elements, uncorrected comes out at 0.469 eV per atom. The value obtained for the relative energy among the computed polymorphs is 0.0 meV per atom. The calculated volume comes out at 28.10 Å³ per atom.

=====

This record from Alexandria via LeMat-Bulk describes crystalline CaLaY2Te4 at its relaxed geometry. The functional is PBE.

Lattice parameters (Å, degrees): 7.719 4.424 7.740 90.00 109.07 90.00
Element x y z (fractional)
1 Ca 0.000 0.000 0.000
2 La 0.000 0.500 0.500
3 Y 0.500 0.000 0.500
4 Y 0.500 0.500 0.000
5 Te 0.258 0.500 0.248
6 Te 0.261 0.000 0.759
7 Te 0.739 0.000 0.241
8 Te 0.742 0.500 0.752

Results
As for the space-group type: P2/m, No. 10. The energy relative to the elements, uncorrected comes out at -1.457 eV per atom. The calculated volume comes out at 31.22 Å³ per atom.

=====

This record from Alexandria via LeMat-Bulk describes crystalline Pb3I4Br2 at its relaxed geometry. The functional is PBE.

Lattice parameters (Å, degrees): 4.425 4.425 23.665 90.00 90.00 120.00
Element x y z (fractional)
1 Pb 0.000 0.000 0.000
2 Pb 0.333 0.667 0.319
3 Pb 0.333 0.667 0.681
4 I 0.000 0.000 0.232
5 I 0.000 0.000 0.406
6 I 0.000 0.000 0.594
7 I 0.000 0.000 0.768
8 Br 0.333 0.667 0.076
9 Br 0.333 0.667 0.924

Results
As for the space-group type: P-6m2, No. 187. The energy relative to the elements, uncorrected comes out at -0.654 eV per atom. The calculated volume comes out at 44.59 Å³ per atom.

=====

This record from Alexandria via LeMat-Bulk describes crystalline RbCdAsSe2 at its relaxed geometry. The functional is PBE.

Lattice parameters (Å, degrees): 6.662 6.662 6.961 90.00 90.00 90.00
Element x y z (fractional)
1 Rb 0.000 0.000 0.000
2 Cd 0.500 0.500 0.500
3 As 0.000 0.000 0.500
4 Se 0.000 0.500 0.000
5 Se 0.500 0.000 0.000

Results
As for the space-group type: P4/mmm, No. 123. The energy relative to the elements, uncorrected comes out at 1.055 eV per atom. The value obtained for the relative energy among the computed polymorphs is 1011.1 meV per atom. The calculated volume comes out at 61.80 Å³ per atom.

=====

This record from Alexandria via LeMat-Bulk describes crystalline MnCoReGe at its relaxed geometry. The functional is PBE.

Lattice parameters (Å, degrees): 4.188 4.188 4.188 60.00 60.00 60.00
Element x y z (fractional)
1 Mn 0.000 0.000 0.000
2 Co 0.750 0.750 0.750
3 Re 0.250 0.250 0.250
4 Ge 0.500 0.500 0.500

Results
As for the space-group type: F-43m, No. 216. As for the calculated formation energy: 0.0 kJ per mole of atoms. The calculated volume comes out at 12.98 Å³ per atom.

=====

This record from Alexandria via LeMat-Bulk describes crystalline TiV2NiIr at its relaxed geometry. The functional is PBE.

Lattice parameters (Å, degrees): 4.256 4.256 4.415 90.00 90.00 90.00
Element x y z (fractional)
1 Ti 0.000 0.000 0.000
2 V 0.000 0.500 0.500
3 V 0.500 0.000 0.500
4 Ni 0.000 0.000 0.500
5 Ir 0.500 0.500 0.000

Results
As for the space-group type: P4/mmm, No. 123. As for the calculated formation energy: 64.6 kJ per mole of atoms. The calculated volume comes out at 15.99 Å³ per atom.

=====

This record from Alexandria via LeMat-Bulk describes crystalline InAg2Rh2 at its relaxed geometry. The functional is PBE.

Lattice parameters (Å, degrees): 6.759 6.759 4.023 90.00 90.00 90.00
Element x y z (fractional)
1 In 0.000 0.000 0.000
2 In 0.500 0.500 0.000
3 Ag 0.166 0.334 0.500
4 Ag 0.334 0.834 0.500
5 Ag 0.666 0.166 0.500
6 Ag 0.834 0.666 0.500
7 Rh 0.132 0.632 0.000
8 Rh 0.368 0.132 0.000
9 Rh 0.632 0.868 0.000
10 Rh 0.868 0.368 0.000

Results
As for the space-group type: P4/mbm, No. 127. As for the calculated formation energy: 14.1 kJ per mole of atoms. The calculated volume comes out at 18.38 Å³ per atom.

=====

This record from Alexandria via LeMat-Bulk describes crystalline La3TbNd4Te8 at its relaxed geometry. The functional is PBE.

Lattice parameters (Å, degrees): 9.018 9.018 9.018 60.24 60.24 60.24
Element x y z (fractional)
1 La 0.000 0.500 0.500
2 La 0.500 0.000 0.500
3 La 0.500 0.500 0.000
4 Tb 0.000 0.000 0.000
5 Nd 0.000 0.000 0.500
6 Nd 0.000 0.500 0.000
7 Nd 0.500 0.000 0.000
8 Nd 0.500 0.500 0.500
9 Te 0.243 0.754 0.754
10 Te 0.246 0.246 0.757
11 Te 0.246 0.757 0.246
12 Te 0.248 0.248 0.248
13 Te 0.752 0.752 0.752
14 Te 0.754 0.243 0.754
15 Te 0.754 0.754 0.243
16 Te 0.757 0.246 0.246

Results
As for the space-group type: R-3m, No. 166. The energy relative to the elements, uncorrected comes out at -1.469 eV per atom. The calculated volume comes out at 32.57 Å³ per atom.

=====

This record from Alexandria via LeMat-Bulk describes crystalline NdPaIn4 at its relaxed geometry. The functional is PBE.

Lattice parameters (Å, degrees): 6.041 6.041 6.041 60.00 60.00 60.00
Element x y z (fractional)
1 Nd 0.000 0.000 0.000
2 Pa 0.250 0.250 0.250
3 In 0.126 0.625 0.625
4 In 0.625 0.126 0.625
5 In 0.625 0.625 0.126
6 In 0.625 0.625 0.625

Results
As for the space-group type: F-43m, No. 216. As for the calculated formation energy: -11.7 kJ per mole of atoms. The calculated volume comes out at 25.99 Å³ per atom.

=====

This record from Alexandria via LeMat-Bulk describes crystalline NbRhW at its relaxed geometry. The functional is PBE.

Lattice parameters (Å, degrees): 5.264 5.264 5.522 120.71 120.71 50.42
Element x y z (fractional)
1 Nb 0.000 0.000 0.000
2 Nb 0.683 0.683 0.334
3 Rh 0.030 0.030 0.522
4 Rh 0.326 0.326 0.141
5 W 0.362 0.362 0.664
6 W 0.677 0.677 0.825

Results
As for the space-group type: Cm, No. 8. As for the calculated formation energy: -10.6 kJ per mole of atoms. The value obtained for the relative energy among the computed polymorphs is 90.0 meV per atom. The calculated volume comes out at 16.22 Å³ per atom.

=====

This record from Alexandria via LeMat-Bulk describes crystalline RbErTl2F6 at its relaxed geometry. The functional is PBE.

Lattice parameters (Å, degrees): 6.516 6.935 11.391 90.00 123.90 90.00
Element x y z (fractional)
1 Rb 0.000 0.000 0.000
2 Rb 0.000 0.500 0.500
3 Er 0.500 0.000 0.500
4 Er 0.500 0.500 0.000
5 Tl 0.231 0.039 0.741
6 Tl 0.231 0.461 0.241
7 Tl 0.769 0.539 0.759
8 Tl 0.769 0.961 0.259
9 F 0.179 0.157 0.462
10 F 0.179 0.343 0.962
11 F 0.274 0.740 0.426
12 F 0.274 0.760 0.926
13 F 0.396 0.063 0.286
14 F 0.396 0.437 0.786
15 F 0.604 0.563 0.214
16 F 0.604 0.937 0.714
17 F 0.726 0.240 0.074
18 F 0.726 0.260 0.574
19 F 0.821 0.657 0.038
20 F 0.821 0.843 0.538

Results
As for the space-group type: P2_1/c, No. 14. The energy relative to the elements, uncorrected comes out at -2.941 eV per atom. The calculated volume comes out at 21.36 Å³ per atom.